[1]
Density functional theory data (PBE-GGA) for a relaxed Nd3Dy3TlIn2 crystal.

Calculated values
Symmetry   P-62m (189)
Energy relative to the elements   -0.279 eV per atom

Unit cell a=9.1203 b=9.1203 c=3.7739 alpha=90.00 beta=90.00 gamma=120.00
Atoms (fractional coordinates):
Nd (0.0000, 0.7113, 0.0000)
Nd (0.2887, 0.2887, 0.0000)
Nd (0.7113, 0.0000, 0.0000)
Dy (0.0000, 0.3841, 0.5000)
Dy (0.3841, 0.0000, 0.5000)
Dy (0.6159, 0.6159, 0.5000)
Tl (0.0000, 0.0000, 0.5000)
In (0.3333, 0.6667, 0.0000)
In (0.6667, 0.3333, 0.0000)

=====

[2]
Density functional theory data (PBE-GGA) for a relaxed NdDyTlIn crystal.

Calculated values
Symmetry   F-43m (216)
Energy relative to the elements   -0.420 eV per atom

Unit cell a=7.6725 b=7.6725 c=7.6725 alpha=90.00 beta=90.00 gamma=90.00
Atoms (fractional coordinates):
Nd (0.0000, 0.0000, 0.0000)
Nd (0.0000, 0.5000, 0.5000)
Nd (0.5000, 0.0000, 0.5000)
Nd (0.5000, 0.5000, 0.0000)
Dy (0.0000, 0.0000, 0.5000)
Dy (0.0000, 0.5000, 0.0000)
Dy (0.5000, 0.0000, 0.0000)
Dy (0.5000, 0.5000, 0.5000)
Tl (0.2500, 0.2500, 0.2500)
Tl (0.2500, 0.7500, 0.7500)
Tl (0.7500, 0.2500, 0.7500)
Tl (0.7500, 0.7500, 0.2500)
In (0.2500, 0.2500, 0.7500)
In (0.2500, 0.7500, 0.2500)
In (0.7500, 0.2500, 0.2500)
In (0.7500, 0.7500, 0.7500)